# 1
Below is a relaxed structure of Ca2SbAs2, with properties calculated at the PBE level.

Cell: 3.8854 3.8854 17.3066 Å, 90.00 90.00 90.00°
Last column: nearest neighbours and their distance in Å.
Space group I4/mmm (No. 139)
Asymmetric unit:
1 Ca 0.0000 0.0000 0.1117 [4 per cell]  4 As 3.08, 4 Sb 3.36
2 Sb 0.0000 0.0000 0.5000 [2 per cell]  8 Ca 3.36
3 As 0.0000 0.5000 0.2500 [4 per cell]  4 As 2.75

## Properties
The calculation puts the calculated volume at 26.13 Å³/atom. As for the density of states at the Fermi level: 3.42 states/eV per cell. Its energy relative to the elements, uncorrected is -0.76 eV per atom. As for the density: 4.47 g/cm³. The value obtained for the total energy is -21.23 eV/f.u.



# 2
Below is a relaxed structure of PaMnCoPd, with properties calculated at the PBE level.

Cell: 6.5207 6.5207 6.5207 Å, 90.00 90.00 90.00°
Last column: nearest neighbours and their distance in Å.
Space group F-43m (No. 216)
Asymmetric unit:
1 Pa 0.0000 0.0000 0.0000 [4 per cell]  4 Pd 2.82, 4 Co 2.82
2 Mn 0.0000 0.0000 0.5000 [4 per cell]  4 Co 2.82, 4 Pd 2.82
3 Co 0.2500 0.2500 0.2500 [4 per cell]  4 Mn 2.82, 4 Pa 2.82
4 Pd 0.2500 0.2500 0.7500 [4 per cell]  4 Mn 2.82, 4 Pa 2.82

## Properties
The calculation puts the calculated volume at 17.33 Å³/atom. As for the density of states at the Fermi level: 26.68 states/eV per cell. As for the energy of formation: -75 meV per atom. As for the density: 10.81 g/cm³. The value obtained for the total energy is -31.26 eV/f.u.



# 3
Below is a relaxed structure of Ti2Zn2H, with properties calculated at the PBE level.

Cell: 5.3590 5.3590 4.7989 Å, 90.00 90.00 90.00°
Last column: nearest neighbours and their distance in Å.
Space group P4/mbm (No. 127)
Asymmetric unit:
1 Ti 0.1624 0.3376 0.0000 [4 per cell]  2 H 2.01
2 Zn 0.1621 0.6621 0.5000 [4 per cell]  1 Zn 2.46, 2 Ti 2.74
3 H 0.0000 0.0000 0.0000 [2 per cell]  4 Ti 2.01

## Properties
The calculation puts the calculated volume at 13.78 Å³/atom. As for the density of states at the Fermi level: 6.69 states/eV per cell. As for the density: 5.48 g/cm³. The value obtained for the total energy is -22.12 eV/f.u.



# 4
Below is a relaxed structure of Cs2SI4, with properties calculated at the PBE level.

Cell: 6.0468 6.0468 18.3567 Å, 90.00 90.00 90.00°
Last column: nearest neighbours and their distance in Å.
Space group I4/mmm (No. 139)
Asymmetric unit:
1 Cs 0.0000 0.0000 0.1345 [4 per cell]  9 I 3.90-4.28
2 S 0.0000 0.0000 0.5000 [2 per cell]  6 I 2.73-3.02
3 I 0.0000 0.0000 0.3513 [4 per cell]  1 S 2.73
4 I 0.0000 0.5000 0.0000 [4 per cell]  2 S 3.02

## Properties
The calculation puts the calculated volume at 47.94 Å³/atom. As for the density of states at the Fermi level: 5.00 states/eV per cell. Its energy relative to the elements, uncorrected is -0.75 eV per atom. As for the density: 3.99 g/cm³. The value obtained for the total energy is -17.28 eV/f.u.



# 5
Below is a relaxed structure of CuTcAu3, with properties calculated at the PBE level.

Cell: 4.7440 4.7440 4.7440 Å, 90.00 90.00 90.00°
Last column: nearest neighbours and their distance in Å.
Space group Pm-3m (No. 221)
Asymmetric unit:
1 Cu 0.0000 0.0000 0.0000 [1 per cell]  6 Au 2.37
2 Tc 0.5000 0.5000 0.5000 [1 per cell]  12 Au 3.35
3 Au 0.0000 0.0000 0.5000 [3 per cell]  2 Cu 2.37

## Properties
The calculation puts the calculated volume at 21.35 Å³/atom. As for the density of states at the Fermi level: 3.74 states/eV per cell. As for the energy of formation: 1057 meV per atom. As for the density: 11.70 g/cm³. The value obtained for the total energy is -19.01 eV/f.u.



# 6
Below is a relaxed structure of Sm4Tm3Sc2, with properties calculated at the PBE level.

Cell: 16.6624 9.4774 6.9166 Å, 90.00 90.02 90.00°
Last column: nearest neighbours and their distance in Å.
Space group C2/c (No. 15)
Asymmetric unit:
1 Sm 0.0169 0.1669 0.9998 [8 per cell]  1 Sc 3.14, 4 Sm 3.21-3.51
2 Sm 0.1598 0.3211 0.5004 [8 per cell]  3 Sc 3.17-3.48, 2 Sm 3.29, 2 Tm 3.51
3 Tm 0.0000 0.4998 0.2500 [4 per cell]  2 Tm 3.46, 8 Sm 3.60-3.61, 4 Sc 3.70
4 Tm 0.1745 0.0003 0.2497 [8 per cell]  4 Sc 3.38-3.71, 2 Tm 3.46, 6 Sm 3.51-3.68
5 Sc 0.1753 0.3453 0.0004 [8 per cell]  1 Sc 3.08, 2 Sm 3.14-3.17, 2 Tm 3.38

## Properties
The calculation puts the calculated volume at 30.34 Å³/atom. As for the density of states at the Fermi level: 52.02 states/eV per cell. As for the energy of formation: 56 meV per atom. As for the density: 7.29 g/cm³. The value obtained for the total energy is -44.45 eV/f.u.